# PBE-GGA SmEr2OsO8, optimized geometry
# magnetization = 1.043 μB/f.u.
# density = 7.737 Mg/m³
# Fermi-level density of states = 3.2 states/eV/f.u.
# E = -7.927 eV per atom
data_SmEr2OsO8
_chemical_formula_sum 'Sm2 Er4 Os2 O16'
_symmetry_space_group_name_H-M 'C m m m'
_symmetry_Int_Tables_number 65
_symmetry_space_group_name_Hall '-C 2 2'
_cell_length_a 7.105
_cell_length_b 7.131
_cell_length_c 6.805
_cell_angle_alpha 90.00
_cell_angle_beta 90.00
_cell_angle_gamma 90.00
loop_
_atom_site_label
_atom_site_fract_x
_atom_site_fract_y
_atom_site_fract_z
Sm1 0.000 0.000 0.000
Er1 0.000 0.500 0.247
Os1 0.000 0.000 0.500
O1 0.000 0.265 0.500
O2 0.000 0.314 0.000
O3 0.186 0.000 0.294